# PBE FeTe2As, relaxed
data_FeTe2As
_space_group_name_H-M_alt 'C 1 m 1'
_space_group_IT_number 8
_space_group_name_Hall 'C -2y'
_cell_length_a 8.097
_cell_length_b 3.631
_cell_length_c 7.159
_cell_angle_alpha 90.00
_cell_angle_beta 109.82
_cell_angle_gamma 90.00
loop_
_atom_site_label
_atom_site_fract_x
_atom_site_fract_y
_atom_site_fract_z
Fe1 0.000 0.000 0.000
Te1 0.063 0.500 0.286
Te2 0.394 0.000 0.714
As1 0.205 0.500 0.000
# energy: -4.7887 eV/atom
# formation energy without anion corrections: 0.24 eV per formula unit
# Fermi-level density of states: 6.81 states/eV per cell

# PBE Fe2TeAs, relaxed
data_Fe2TeAs
_space_group_name_H-M_alt 'C 1 m 1'
_space_group_IT_number 8
_space_group_name_Hall 'C -2y'
_cell_length_a 7.772
_cell_length_b 3.271
_cell_length_c 6.394
_cell_angle_alpha 90.00
_cell_angle_beta 106.80
_cell_angle_gamma 90.00
loop_
_atom_site_label
_atom_site_fract_x
_atom_site_fract_y
_atom_site_fract_z
Fe1 0.000 0.000 0.000
Fe2 0.247 0.500 0.146
Te1 0.238 0.000 0.783
As1 0.495 0.000 0.297
# energy: -6.1224 eV/atom
# formation energy without anion corrections: 0.23 eV per formula unit
# Fermi-level density of states: 6.97 states/eV per cell

# PBE Fe2TeAs, relaxed
data_Fe2TeAs
_space_group_name_H-M_alt 'F m -3 m'
_space_group_IT_number 225
_space_group_name_Hall '-F 4 2 3'
_cell_length_a 6.281
_cell_length_b 6.281
_cell_length_c 6.281
_cell_angle_alpha 90.00
_cell_angle_beta 90.00
_cell_angle_gamma 90.00
loop_
_atom_site_label
_atom_site_fract_x
_atom_site_fract_y
_atom_site_fract_z
Fe1 0.250 0.250 0.250
Te1 0.000 0.000 0.000
As1 0.000 0.000 0.500
# energy: -5.8538 eV/atom
# formation energy without anion corrections: 1.30 eV per formula unit
# Fermi-level density of states: 19.54 states/eV per cell

# PBE FeTe2As, relaxed
data_FeTe2As
_space_group_name_H-M_alt 'C 1 2/m 1'
_space_group_IT_number 12
_space_group_name_Hall '-C 2y'
_cell_length_a 6.543
_cell_length_b 3.759
_cell_length_c 7.577
_cell_angle_alpha 90.00
_cell_angle_beta 106.32
_cell_angle_gamma 90.00
loop_
_atom_site_label
_atom_site_fract_x
_atom_site_fract_y
_atom_site_fract_z
Fe1 0.000 0.000 0.000
Te1 0.239 0.500 0.219
As1 0.000 0.500 0.500
# energy: -4.5912 eV/atom
# formation energy without anion corrections: 1.03 eV per formula unit
# Fermi-level density of states: 8.60 states/eV per cell